First-principles (PBE-GGA) data for a relaxed structure of SiSb2TePt, as listed in Alexandria.

a = 5.1819 Å, b = 5.1819 Å, c = 5.4710 Å
α = 90.00°, β = 90.00°, γ = 90.00°
Last column: nearest neighbours and their distance in Å.
Fractional coordinates of all 5 atoms:
Te  0.0000  0.0000  0.5000  2 Pt 2.74
Sb  0.0000  0.5000  0.0000  2 Pt 2.59
Si  0.5000  0.5000  0.5000  4 Te 3.66, 8 Sb 3.77
Sb  0.5000  0.0000  0.0000  2 Pt 2.59
Pt  0.0000  0.0000  0.0000  4 Sb 2.59, 2 Te 2.74

- polymorph energy (0 for the lowest one) (eV/atom) = 0.0000
- uncorrected formation energy (kJ/mol of formula units) = 323.8